Entry 1:
La2CeS4: optimized geometry, PBE-GGA.

Calculated values
Total DFT energy (no corrections) ... -6.729 eV/atom
N(E_F) ... 1.33 states/eV per atom
Formation energy (no corrections) ... -2.11 eV/atom
M_tot ... 1.858 μB/f.u.

```
data_La2CeS4
_cell_length_a 7.521
_cell_length_b 7.521
_cell_length_c 7.521
_cell_angle_alpha 109.42
_cell_angle_beta 109.42
_cell_angle_gamma 109.57
_space_group_name_H-M_alt 'P 1'
_space_group_IT_number 1
_space_group_name_Hall 'P 1'
loop_
_atom_site_label
_atom_site_type_symbol
_atom_site_fract_x
_atom_site_fract_y
_atom_site_fract_z
La1 La 0.000 0.875 0.625
Ce1 Ce 0.500 0.500 0.000
S1 S 0.224 0.623 0.751
La2 La 0.250 0.375 0.375
Ce2 Ce 0.750 0.250 0.500
S2 S 0.527 0.776 0.399
S3 S 0.026 0.277 0.899
S4 S 0.378 0.127 0.101
La3 La 0.625 0.000 0.875
S5 S 0.723 0.622 0.749
La4 La 0.125 0.750 0.125
S6 S 0.872 0.473 0.249
S7 S 0.873 0.974 0.251
S8 S 0.377 0.128 0.601
```



Entry 2:
LaCeAg: optimized geometry, PBE-GGA.

Calculated values
Total DFT energy (no corrections) ... -4.657 eV/atom
N(E_F) ... 2.03 states/eV per atom
E_form ... -86 meV per atom
M_tot ... 0.906 μB/f.u.

```
data_LaCeAg
_cell_length_a 3.569
_cell_length_b 5.575
_cell_length_c 8.570
_cell_angle_alpha 90.00
_cell_angle_beta 102.02
_cell_angle_gamma 90.00
_space_group_name_H-M_alt 'P 1'
_space_group_IT_number 1
_space_group_name_Hall 'P 1'
loop_
_atom_site_label
_atom_site_type_symbol
_atom_site_fract_x
_atom_site_fract_y
_atom_site_fract_z
Ce1 Ce 0.757 0.250 0.513
Ce2 Ce 0.243 0.750 0.487
La1 La 0.078 0.250 0.156
La2 La 0.922 0.750 0.844
Ag1 Ag 0.409 0.250 0.819
Ag2 Ag 0.591 0.750 0.181
```



Entry 3:
CaNdTlPd: optimized geometry, PBE-GGA.

Calculated values
Total DFT energy (no corrections) ... -4.087 eV/atom
N(E_F) ... 0.70 states/eV per atom
E_form ... -505 meV per atom
M_tot ... 0.000 μB/f.u.

```
data_CaNdTlPd
_cell_length_a 5.289
_cell_length_b 5.289
_cell_length_c 5.289
_cell_angle_alpha 60.00
_cell_angle_beta 60.00
_cell_angle_gamma 60.00
_space_group_name_H-M_alt 'P 1'
_space_group_IT_number 1
_space_group_name_Hall 'P 1'
loop_
_atom_site_label
_atom_site_type_symbol
_atom_site_fract_x
_atom_site_fract_y
_atom_site_fract_z
Tl1 Tl 0.000 0.000 0.000
Ca1 Ca 0.750 0.750 0.750
Nd1 Nd 0.250 0.250 0.250
Pd1 Pd 0.500 0.500 0.500
```



Entry 4:
CaCdFe2Os: optimized geometry, PBE-GGA.

Calculated values
Total DFT energy (no corrections) ... -5.239 eV/atom
N(E_F) ... 1.51 states/eV per atom
E_form ... 975 meV per atom
M_tot ... 5.460 μB/f.u.

```
data_CaCdFe2Os
_cell_length_a 4.641
_cell_length_b 5.408
_cell_length_c 4.641
_cell_angle_alpha 90.00
_cell_angle_beta 90.00
_cell_angle_gamma 90.00
_space_group_name_H-M_alt 'P 1'
_space_group_IT_number 1
_space_group_name_Hall 'P 1'
loop_
_atom_site_label
_atom_site_type_symbol
_atom_site_fract_x
_atom_site_fract_y
_atom_site_fract_z
Fe1 Fe 0.500 0.000 0.000
Ca1 Ca 0.000 0.500 0.000
Os1 Os 0.000 0.000 0.000
Cd1 Cd 0.500 0.500 0.500
Fe2 Fe 0.000 0.000 0.500
```